Density functional theory data (PBE with a Hubbard U) for a geometry-optimized PuMg2FeO6 structure.

```
PuMg2FeO6
1.0
5.315 0.000 0.000
2.658 4.603 0.000
2.657 1.534 4.773
Pu Mg Fe O
1 2 1 6
direct
0.316 0.316 0.052
0.524 0.524 0.429
0.022 0.022 0.934
0.816 0.816 0.553
0.618 0.207 0.262
0.207 0.913 0.262
0.913 0.618 0.262
0.430 0.716 0.754
0.717 0.100 0.754
0.100 0.430 0.754
```

DFT total energy in eV for the cell shown: -76.62
SG: R3, No. 146
Crystal system: trigonal
DOS at the Fermi energy in states/eV per cell: 9.66